Nd3ErIr | GGA-PBE | optimized geometry

abc: 5.602 5.602 5.602
angles: 90.00 90.00 90.00
Fractional positions:
Nd  0.000  0.000  0.500
Nd  0.000  0.500  0.000
Nd  0.500  0.000  0.000
Er  0.500  0.500  0.500
Ir  0.000  0.000  0.000

The calculated density is 7.5 g/cm3. The total energy is -5.6513 eV per atom. For the total moment, the calculation gives 0.00 Bohr magnetons per cell.